{"formula": "Cd4PdRh2", "functional": "GGA-PBE", "state": "optimized geometry", "cell": [[0.160, 5.369, -1.489], [3.846, -2.841, -2.864], [-5.049, -2.088, -1.105]], "species": ["Cd", "Pd", "Rh", "Cd", "Cd", "Rh", "Cd"], "fractional_positions": [[0.500, 0.000, 0.000], [0.000, 0.000, 0.000], [0.500, 0.000, 0.500], [0.500, 0.500, 0.500], [0.000, 0.500, 0.000], [0.500, 0.500, 0.000], [0.000, 0.000, 0.500]], "dft_energy_ev_per_atom": -3.586, "vol_a3_per_cell": 133.30, "e_form_mev_per_atom": -220, "mass_density_g_cm3": 9.491}